Record 1
This record from Alexandria via LeMat-Bulk describes crystalline AlRe2Ir at its relaxed geometry. The functional is PBE-GGA.

Cell: 3.749 3.749 8.323 Å, 90.00 90.00 90.00°
Space group I4/mmm (No. 139)
Unique sites:
Al1 0.000 0.000 0.000 (multiplicity 2)
Re1 0.000 0.500 0.250 (multiplicity 4)
Ir1 0.000 0.000 0.500 (multiplicity 2)

* uncorrected energy: -9.528 eV/atom
* N(E_F): 2.76 states/eV/f.u.
* volume: 14.6 Å³/atom


Record 2
This record from Alexandria via LeMat-Bulk describes crystalline PuUAu4 at its relaxed geometry. The functional is PBE-GGA.

Cell: 8.010 8.010 8.010 Å, 90.00 90.00 90.00°
Space group F-43m (No. 216)
Unique sites:
Pu1 0.000 0.000 0.000 (multiplicity 4)
U1 0.250 0.250 0.250 (multiplicity 4)
Au1 0.125 0.125 0.625 (multiplicity 16)

* N(E_F): 14.10 states/eV/f.u.
* energy above the most stable polymorph in this dataset: 229 meV per atom
* volume: 21.4 Å³/atom